1.
# SrMn2Nb2 | Alexandria | PBE | optimized geometry
# Fermi-level density of states in states/eV per atom: 1.555
# Energy of formation from the pure elements in eV per atom: 0.589
# Polymorph energy (0 for the lowest one) in eV per atom: 0.091
# Space group: I4/mmm, No. 139
# Total DFT energy (no corrections) in eV for the cell shown: -37.21
data_SrMn2Nb2
_chemical_formula_sum 'Sr1 Mn2 Nb2'
_cell_length_a 4.1729
_cell_length_b 4.1729
_cell_length_c 6.5551
_cell_angle_alpha 71.44
_cell_angle_beta 71.44
_cell_angle_gamma 90.00
_space_group_name_H-M_alt 'P 1'
_space_group_IT_number 1
loop_
_space_group_symop_operation_xyz
'x,y,z'
loop_
_atom_site_label
_atom_site_fract_x
_atom_site_fract_y
_atom_site_fract_z
_atom_site_occupancy
Sr1 0.0000 0.0000 0.0000 1
Nb1 0.3591 0.3591 0.2819 1
Nb2 0.6409 0.6409 0.7181 1
Mn1 0.7500 0.2500 0.5000 1
Mn2 0.2500 0.7500 0.5000 1

2.
# Er4Bi5Te | Alexandria | PBE | optimized geometry
# Fermi-level density of states in states/eV per atom: 0.570
# E_form (uncorrected) in eV/atom: -0.602
# Space group: C2/m, No. 12
# Total DFT energy (no corrections) in eV for the cell shown: -46.82
data_Er4Bi5Te
_chemical_formula_sum 'Er4 Bi5 Te1'
_cell_length_a 4.4482
_cell_length_b 8.2578
_cell_length_c 9.4858
_cell_angle_alpha 77.52
_cell_angle_beta 103.56
_cell_angle_gamma 90.00
_space_group_name_H-M_alt 'P 1'
_space_group_IT_number 1
loop_
_space_group_symop_operation_xyz
'x,y,z'
loop_
_atom_site_label
_atom_site_fract_x
_atom_site_fract_y
_atom_site_fract_z
_atom_site_occupancy
Er1 0.3425 0.9421 0.6849 1
Er2 0.0469 0.7359 0.0938 1
Er3 0.6575 0.0579 0.3151 1
Er4 0.9531 0.2641 0.9062 1
Bi1 0.8679 0.6532 0.7357 1
Bi2 0.7938 0.2205 0.5877 1
Bi3 0.2062 0.7795 0.4123 1
Bi4 0.5000 0.5000 0.0000 1
Bi5 0.1321 0.3468 0.2643 1
Te1 0.5000 0.0000 0.0000 1

3.
# BaB2Pb2O6 | Alexandria | PBE | optimized geometry
# Fermi-level density of states in states/eV per atom: 0.000
# E_form (uncorrected) in eV/atom: -2.123
# Space group: P-3, No. 147
# Total DFT energy (no corrections) in eV for the cell shown: -75.80
data_BaB2Pb2O6
_chemical_formula_sum 'Ba1 B2 Pb2 O6'
_cell_length_a 5.2785
_cell_length_b 5.2785
_cell_length_c 9.1342
_cell_angle_alpha 90.00
_cell_angle_beta 90.00
_cell_angle_gamma 120.00
_space_group_name_H-M_alt 'P 1'
_space_group_IT_number 1
loop_
_space_group_symop_operation_xyz
'x,y,z'
loop_
_atom_site_label
_atom_site_fract_x
_atom_site_fract_y
_atom_site_fract_z
_atom_site_occupancy
Ba1 0.0000 0.0000 0.0000 1
B1 0.3333 0.6667 0.8016 1
B2 0.6667 0.3333 0.1984 1
Pb1 0.3333 0.6667 0.3272 1
Pb2 0.6667 0.3333 0.6728 1
O1 0.3609 0.4183 0.8053 1
O2 0.0574 0.6391 0.8053 1
O3 0.5817 0.9426 0.8053 1
O4 0.6391 0.5817 0.1947 1
O5 0.9426 0.3609 0.1947 1
O6 0.4183 0.0574 0.1947 1

4.
# Fe2CoIr | Alexandria | PBE | optimized geometry
# Fermi-level density of states in states/eV per atom: 1.562
# Energy of formation from the pure elements in eV per atom: 0.027
# Space group: Pmmm, No. 47
# Total DFT energy (no corrections) in eV for the cell shown: -32.79
data_Fe2CoIr
_chemical_formula_sum 'Fe2 Co1 Ir1'
_cell_length_a 2.6350
_cell_length_b 3.5709
_cell_length_c 5.1953
_cell_angle_alpha 90.00
_cell_angle_beta 90.00
_cell_angle_gamma 90.00
_space_group_name_H-M_alt 'P 1'
_space_group_IT_number 1
loop_
_space_group_symop_operation_xyz
'x,y,z'
loop_
_atom_site_label
_atom_site_fract_x
_atom_site_fract_y
_atom_site_fract_z
_atom_site_occupancy
Co1 0.5000 0.5000 0.7500 1
Fe1 0.0000 0.0000 0.9903 1
Fe2 0.0000 0.0000 0.5097 1
Ir1 0.5000 0.5000 0.2500 1

5.
# LaPaHgGe | Alexandria | PBE | optimized geometry
# Fermi-level density of states in states/eV per atom: 2.197
# Energy of formation from the pure elements in eV per atom: -0.194
# Space group: F-43m, No. 216
# Total DFT energy (no corrections) in eV for the cell shown: -20.12
data_LaPaHgGe
_chemical_formula_sum 'La1 Pa1 Hg1 Ge1'
_cell_length_a 5.2859
_cell_length_b 5.2859
_cell_length_c 5.2859
_cell_angle_alpha 60.00
_cell_angle_beta 60.00
_cell_angle_gamma 60.00
_space_group_name_H-M_alt 'P 1'
_space_group_IT_number 1
loop_
_space_group_symop_operation_xyz
'x,y,z'
loop_
_atom_site_label
_atom_site_fract_x
_atom_site_fract_y
_atom_site_fract_z
_atom_site_occupancy
Ge1 0.7500 0.7500 0.7500 1
Pa1 0.0000 0.0000 0.0000 1
Hg1 0.2500 0.2500 0.2500 1
La1 0.5000 0.5000 0.5000 1

6.
# TmScMnRh | Alexandria | PBE | optimized geometry
# Fermi-level density of states in states/eV per atom: 1.179
# Energy of formation from the pure elements in eV per atom: -0.360
# Space group: F-43m, No. 216
# Total DFT energy (no corrections) in eV for the cell shown: -28.76
data_TmScMnRh
_chemical_formula_sum 'Tm1 Sc1 Mn1 Rh1'
_cell_length_a 4.7225
_cell_length_b 4.7225
_cell_length_c 4.7225
_cell_angle_alpha 60.00
_cell_angle_beta 60.00
_cell_angle_gamma 60.00
_space_group_name_H-M_alt 'P 1'
_space_group_IT_number 1
loop_
_space_group_symop_operation_xyz
'x,y,z'
loop_
_atom_site_label
_atom_site_fract_x
_atom_site_fract_y
_atom_site_fract_z
_atom_site_occupancy
Sc1 0.0000 0.0000 0.0000 1
Tm1 0.5000 0.5000 0.5000 1
Rh1 0.7500 0.7500 0.7500 1
Mn1 0.2500 0.2500 0.2500 1

7.
# SmMgRuAu | Alexandria | PBE | optimized geometry
# Fermi-level density of states in states/eV per atom: 0.457
# Energy of formation from the pure elements in eV per atom: -0.295
# Space group: F-43m, No. 216
# Total DFT energy (no corrections) in eV for the cell shown: -20.05
data_SmMgRuAu
_chemical_formula_sum 'Sm1 Mg1 Ru1 Au1'
_cell_length_a 4.8317
_cell_length_b 4.8317
_cell_length_c 4.8317
_cell_angle_alpha 60.00
_cell_angle_beta 60.00
_cell_angle_gamma 60.00
_space_group_name_H-M_alt 'P 1'
_space_group_IT_number 1
loop_
_space_group_symop_operation_xyz
'x,y,z'
loop_
_atom_site_label
_atom_site_fract_x
_atom_site_fract_y
_atom_site_fract_z
_atom_site_occupancy
Ru1 0.7500 0.7500 0.7500 1
Mg1 0.5000 0.5000 0.5000 1
Au1 0.2500 0.2500 0.2500 1
Sm1 0.0000 0.0000 0.0000 1

8.
# BaLi2ThSe4 | Alexandria | PBE | optimized geometry
# Fermi-level density of states in states/eV per atom: 0.000
# E_form (uncorrected) in eV/atom: -1.527
# Space group: I-42m, No. 121
# Total DFT energy (no corrections) in eV for the cell shown: -39.33
data_BaLi2ThSe4
_chemical_formula_sum 'Ba1 Li2 Th1 Se4'
_cell_length_a 7.3191
_cell_length_b 6.7136
_cell_length_c 6.7136
_cell_angle_alpha 66.06
_cell_angle_beta 56.97
_cell_angle_gamma 56.97
_space_group_name_H-M_alt 'P 1'
_space_group_IT_number 1
loop_
_space_group_symop_operation_xyz
'x,y,z'
loop_
_atom_site_label
_atom_site_fract_x
_atom_site_fract_y
_atom_site_fract_z
_atom_site_occupancy
Ba1 0.0000 0.0000 0.0000 1
Li1 0.2499 0.2501 0.2501 1
Li2 0.7501 0.7499 0.7499 1
Th1 0.5000 0.5000 0.5000 1
Se1 0.4696 0.0885 0.5303 1
Se2 0.0885 0.9115 0.4697 1
Se3 0.9115 0.5303 0.0885 1
Se4 0.5304 0.4697 0.9115 1

9.
# PrH5 | Alexandria | PBE | optimized geometry
# Fermi-level density of states in states/eV per atom: 0.088
# Space group: Cmmm, No. 65
# Total DFT energy (no corrections) in eV for the cell shown: -20.18
data_PrH5
_chemical_formula_sum 'Pr1 H5'
_cell_length_a 3.4851
_cell_length_b 3.4603
_cell_length_c 4.1864
_cell_angle_alpha 114.41
_cell_angle_beta 90.00
_cell_angle_gamma 90.00
_space_group_name_H-M_alt 'P 1'
_space_group_IT_number 1
loop_
_space_group_symop_operation_xyz
'x,y,z'
loop_
_atom_site_label
_atom_site_fract_x
_atom_site_fract_y
_atom_site_fract_z
_atom_site_occupancy
Pr1 0.0000 0.0000 0.0000 1
H1 0.5000 0.7442 0.4885 1
H2 0.0000 0.6980 0.3960 1
H3 0.5000 0.5000 0.0000 1
H4 0.0000 0.3020 0.6040 1
H5 0.5000 0.2558 0.5115 1

10.
# Er4CuTc | Alexandria | PBE | optimized geometry
# Fermi-level density of states in states/eV per atom: 0.954
# Energy of formation from the pure elements in eV per atom: -0.102
# Space group: P4/mmm, No. 123
# Total DFT energy (no corrections) in eV for the cell shown: -33.33
data_Er4CuTc
_chemical_formula_sum 'Er4 Cu1 Tc1'
_cell_length_a 3.4383
_cell_length_b 3.4383
_cell_length_c 12.2887
_cell_angle_alpha 90.00
_cell_angle_beta 90.00
_cell_angle_gamma 90.00
_space_group_name_H-M_alt 'P 1'
_space_group_IT_number 1
loop_
_space_group_symop_operation_xyz
'x,y,z'
loop_
_atom_site_label
_atom_site_fract_x
_atom_site_fract_y
_atom_site_fract_z
_atom_site_occupancy
Er1 0.5000 0.5000 0.8621 1
Er2 0.5000 0.5000 0.1379 1
Er3 0.0000 0.0000 0.6315 1
Er4 0.0000 0.0000 0.3685 1
Cu1 0.0000 0.0000 0.0000 1
Tc1 0.5000 0.5000 0.5000 1

11.
# CeThZnCd | Alexandria | PBE | optimized geometry
# Fermi-level density of states in states/eV per atom: 2.541
# Energy of formation from the pure elements in eV per atom: -0.087
# Polymorph energy (0 for the lowest one) in eV per atom: 0.060
# Space group: F-43m, No. 216
# Total DFT energy (no corrections) in eV for the cell shown: -15.89
data_CeThZnCd
_chemical_formula_sum 'Ce1 Th1 Zn1 Cd1'
_cell_length_a 5.2969
_cell_length_b 5.2969
_cell_length_c 5.2969
_cell_angle_alpha 60.00
_cell_angle_beta 60.00
_cell_angle_gamma 60.00
_space_group_name_H-M_alt 'P 1'
_space_group_IT_number 1
loop_
_space_group_symop_operation_xyz
'x,y,z'
loop_
_atom_site_label
_atom_site_fract_x
_atom_site_fract_y
_atom_site_fract_z
_atom_site_occupancy
Zn1 0.7500 0.7500 0.7500 1
Ce1 0.0000 0.0000 0.0000 1
Th1 0.5000 0.5000 0.5000 1
Cd1 0.2500 0.2500 0.2500 1

12.
# PaNiAgAu | Alexandria | PBE | optimized geometry
# Fermi-level density of states in states/eV per atom: 0.807
# Energy of formation from the pure elements in eV per atom: -0.133
# Space group: F-43m, No. 216
# Total DFT energy (no corrections) in eV for the cell shown: -21.94
data_PaNiAgAu
_chemical_formula_sum 'Pa1 Ni1 Ag1 Au1'
_cell_length_a 4.7691
_cell_length_b 4.7691
_cell_length_c 4.7691
_cell_angle_alpha 60.00
_cell_angle_beta 60.00
_cell_angle_gamma 60.00
_space_group_name_H-M_alt 'P 1'
_space_group_IT_number 1
loop_
_space_group_symop_operation_xyz
'x,y,z'
loop_
_atom_site_label
_atom_site_fract_x
_atom_site_fract_y
_atom_site_fract_z
_atom_site_occupancy
Ni1 0.5000 0.5000 0.5000 1
Pa1 0.7500 0.7500 0.7500 1
Au1 0.0000 0.0000 0.0000 1
Ag1 0.2500 0.2500 0.2500 1

13.
# CoRe4Ni | Alexandria | PBE | optimized geometry
# Fermi-level density of states in states/eV per atom: 0.977
# Energy of formation from the pure elements in eV per atom: 0.699
# Space group: F-43m, No. 216
# Total DFT energy (no corrections) in eV for the cell shown: -58.49
data_CoRe4Ni
_chemical_formula_sum 'Co1 Re4 Ni1'
_cell_length_a 5.0920
_cell_length_b 5.0920
_cell_length_c 5.0920
_cell_angle_alpha 60.00
_cell_angle_beta 60.00
_cell_angle_gamma 60.00
_space_group_name_H-M_alt 'P 1'
_space_group_IT_number 1
loop_
_space_group_symop_operation_xyz
'x,y,z'
loop_
_atom_site_label
_atom_site_fract_x
_atom_site_fract_y
_atom_site_fract_z
_atom_site_occupancy
Co1 0.7500 0.7500 0.7500 1
Re1 0.8757 0.3748 0.3748 1
Re2 0.3748 0.3748 0.8757 1
Re3 0.3748 0.8757 0.3748 1
Re4 0.3748 0.3748 0.3748 1
Ni1 0.0000 0.0000 0.0000 1